[1]
This record from Alexandria via LeMat-Bulk describes a relaxed structure of Sm3TlAu5. The functional is PBE-GGA.

Geometry as POSCAR:
```
Sm3TlAu5
1.0
8.8522 0.0000 0.0000
-4.4261 7.6663 0.0000
0.0000 0.0000 6.2408
Sm Tl Au
6 2 10
Cartesian
-1.5516 2.6875 1.5602 Sm
-2.8745 4.9788 4.6806 Sm
3.1033 0.0000 1.5602 Sm
1.5516 2.6875 4.6806 Sm
5.7490 0.0000 4.6806 Sm
2.8745 4.9788 1.5602 Sm
0.0000 0.0000 0.0000 Tl
0.0000 0.0000 3.1204 Tl
-1.4175 2.4551 4.6806 Au
-3.0086 5.2111 1.5602 Au
2.8349 0.0000 4.6806 Au
1.4175 2.4551 1.5602 Au
0.0000 5.1108 0.0000 Au
0.0000 5.1108 3.1204 Au
4.4261 2.5554 0.0000 Au
4.4261 2.5554 3.1204 Au
6.0173 0.0000 1.5602 Au
3.0086 5.2111 4.6806 Au
```

Computed properties:
The value obtained for the total energy is -78.30 eV for the cell shown. As for the formation energy: -66.9 kJ per mole of atoms.

=====

[2]
This record from Alexandria via LeMat-Bulk describes a relaxed structure of Dy3PtRh. The functional is PBE-GGA.

Geometry as POSCAR:
```
Dy3PtRh
1.0
8.6046 0.0000 0.0000
0.0000 7.2698 0.0000
-2.2086 0.0000 7.8209
Dy Pt Rh
12 4 4
Cartesian
-0.0332 0.0104 1.7014 Dy
-1.1375 3.6245 5.6119 Dy
2.2209 4.7204 0.8507 Dy
1.1166 6.1842 4.7611 Dy
0.8654 1.3565 7.8041 Dy
1.9697 2.2784 3.8937 Dy
4.4263 4.9914 3.9272 Dy
5.5306 5.9133 0.0167 Dy
5.2794 1.0856 3.0598 Dy
4.1751 2.5493 6.9702 Dy
7.5335 3.6453 2.2090 Dy
6.4292 7.2593 6.1194 Dy
1.7297 3.9230 6.3342 Pt
2.8340 6.9817 2.4238 Pt
3.5620 0.2881 5.3971 Pt
4.6663 3.3468 1.4867 Pt
-0.6371 1.3684 4.0755 Rh
0.4672 2.2665 0.1650 Rh
5.9288 5.0033 7.6558 Rh
7.0331 5.9013 3.7454 Rh
```

Computed properties:
The value obtained for the total energy is -127.05 eV for the cell shown. As for the formation energy: -88.1 kJ per mole of atoms.